The following is a DFT calculation (GGA+U) of an optimized crystal structure of Sc3CoO.

Lattice parameters (Å, degrees): 4.371 4.371 4.371 90.00 90.00 90.00
Atoms (fractional coordinates):
Sc (0.000, 0.000, 0.500)
Sc (0.000, 0.500, 0.000)
Sc (0.500, 0.000, 0.000)
Co (0.500, 0.500, 0.500)
O (0.000, 0.000, 0.000)

Output
VASP energy ... -34.70 eV/cell
Space-group type ... Pm-3m
V ... 83.5 Å³/f.u.